Record 1
Here is an optimized crystal structure of Be2HPbN from Alexandria via LeMat-Bulk. Energies are from PBE-GGA.

Cell and atoms, written as CIF:
```
data_Be2HPbN
_symmetry_space_group_name_H-M 'P 4/m m m'
_symmetry_Int_Tables_number 123
_symmetry_space_group_name_Hall '-P 4 2'
_cell_length_a 4.732
_cell_length_b 4.732
_cell_length_c 4.701
_cell_angle_alpha 90.00
_cell_angle_beta 90.00
_cell_angle_gamma 90.00
loop_
_atom_site_label
_atom_site_fract_x
_atom_site_fract_y
_atom_site_fract_z
_atom_site_occupancy
Be1 0.000 0.500 0.000 1
H1 0.000 0.000 0.500 1
Pb1 0.500 0.500 0.000 1
N1 0.500 0.500 0.500 1
```

Computed properties:
DOS at the Fermi energy in states/eV per cell: 0.957
Crystal system: tetragonal
Electronic total energy in eV/cell: -12.6
Calculated volume in Å³ per atom: 21.05

Record 2
Here is an optimized crystal structure of BrF4 from Alexandria via LeMat-Bulk. Energies are from PBE-GGA.

Cell and atoms, written as CIF:
```
data_BrF4
_symmetry_space_group_name_H-M 'P -4 21 c'
_symmetry_Int_Tables_number 114
_cell_length_a 5.595
_cell_length_b 5.595
_cell_length_c 5.348
_cell_angle_alpha 90.00
_cell_angle_beta 90.00
_cell_angle_gamma 90.00
loop_
_symmetry_equiv_pos_as_xyz
'x,y,z'
'y,-x,-z'
'-x,-y,z'
'-y,x,-z'
'x+1/2,-y+1/2,-z+1/2'
'y+1/2,x+1/2,z+1/2'
'-x+1/2,y+1/2,-z+1/2'
'-y+1/2,-x+1/2,z+1/2'
loop_
_atom_site_label
_atom_site_fract_x
_atom_site_fract_y
_atom_site_fract_z
_atom_site_occupancy
Br1 0.000 0.000 0.000 1
F1 0.162 0.172 0.741 1
```

Computed properties:
DOS at the Fermi energy in states/eV per cell: 6.647
Crystal system: tetragonal
Electronic total energy in eV/cell: -23.5
Calculated volume in Å³ per atom: 16.74

Record 3
Here is an optimized crystal structure of PrSn12Pt4 from Alexandria via LeMat-Bulk. Energies are from PBE-GGA.

Cell and atoms, written as CIF:
```
data_PrSn12Pt4
_symmetry_space_group_name_H-M 'I m -3'
_symmetry_Int_Tables_number 204
_symmetry_space_group_name_Hall '-I 2 2 3'
_cell_length_a 9.517
_cell_length_b 9.517
_cell_length_c 9.517
_cell_angle_alpha 90.00
_cell_angle_beta 90.00
_cell_angle_gamma 90.00
loop_
_atom_site_label
_atom_site_fract_x
_atom_site_fract_y
_atom_site_fract_z
_atom_site_occupancy
Pr1 0.000 0.000 0.000 1
Sn1 0.000 0.344 0.158 1
Pt1 0.250 0.250 0.250 1
```

Computed properties:
DOS at the Fermi energy in states/eV per cell: 20.196
E_form in eV/f.u.: -7.1
Crystal system: cubic
Calculated volume in Å³ per atom: 25.36

Record 4
Here is an optimized crystal structure of Sm2Mg3Sn2 from Alexandria via LeMat-Bulk. Energies are from PBE-GGA.

Cell and atoms, written as CIF:
```
data_Sm2Mg3Sn2
_symmetry_space_group_name_H-M 'C m m m'
_symmetry_Int_Tables_number 65
_symmetry_space_group_name_Hall '-C 2 2'
_cell_length_a 4.238
_cell_length_b 21.574
_cell_length_c 4.380
_cell_angle_alpha 90.00
_cell_angle_beta 90.00
_cell_angle_gamma 90.00
loop_
_atom_site_label
_atom_site_fract_x
_atom_site_fract_y
_atom_site_fract_z
_atom_site_occupancy
Sm1 0.000 0.169 0.000 1
Mg1 0.000 0.000 0.000 1
Mg2 0.000 0.431 0.500 1
Sn1 0.000 0.297 0.500 1
```

Computed properties:
DOS at the Fermi energy in states/eV per cell: 10.389
E_form in eV/f.u.: -2.0
Crystal system: orthorhombic
Calculated volume in Å³ per atom: 28.61

Record 5
Here is an optimized crystal structure of YMg2 from Alexandria via LeMat-Bulk. Energies are from PBE-GGA.

Cell and atoms, written as CIF:
```
data_YMg2
_symmetry_space_group_name_H-M 'P n m a'
_symmetry_Int_Tables_number 62
_cell_length_a 6.468
_cell_length_b 5.056
_cell_length_c 9.489
_cell_angle_alpha 90.00
_cell_angle_beta 90.00
_cell_angle_gamma 90.00
loop_
_symmetry_equiv_pos_as_xyz
'x,y,z'
'-x,-y,-z'
'-x+1/2,-y,z+1/2'
'x+1/2,y,-z+1/2'
'x+1/2,-y+1/2,-z+1/2'
'-x+1/2,y+1/2,z+1/2'
'-x,y+1/2,-z'
'x,-y+1/2,z'
loop_
_atom_site_label
_atom_site_fract_x
_atom_site_fract_y
_atom_site_fract_z
_atom_site_occupancy
Y1 0.171 0.250 0.078 1
Mg1 0.046 0.250 0.734 1
Mg2 0.166 0.250 0.411 1
```

Computed properties:
DOS at the Fermi energy in states/eV per cell: 9.391
E_form in eV/f.u.: -0.2
Crystal system: orthorhombic
Calculated volume in Å³ per atom: 25.86

Record 6
Here is an optimized crystal structure of Nb3VCo from Alexandria via LeMat-Bulk. Energies are from PBE-GGA.

Cell and atoms, written as CIF:
```
data_Nb3VCo
_symmetry_space_group_name_H-M 'P m -3 m'
_symmetry_Int_Tables_number 221
_symmetry_space_group_name_Hall '-P 4 2 3'
_cell_length_a 4.597
_cell_length_b 4.597
_cell_length_c 4.597
_cell_angle_alpha 90.00
_cell_angle_beta 90.00
_cell_angle_gamma 90.00
loop_
_atom_site_label
_atom_site_fract_x
_atom_site_fract_y
_atom_site_fract_z
_atom_site_occupancy
Nb1 0.000 0.000 0.500 1
V1 0.000 0.000 0.000 1
Co1 0.500 0.500 0.500 1
```

Computed properties:
DOS at the Fermi energy in states/eV per cell: 8.602
E_form in eV/f.u.: 6.2
Crystal system: cubic
Calculated volume in Å³ per atom: 19.43

Record 7
Here is an optimized crystal structure of TaTlPdS2 from Alexandria via LeMat-Bulk. Energies are from PBE-GGA.

Cell and atoms, written as CIF:
```
data_TaTlPdS2
_symmetry_space_group_name_H-M 'P 4/m m m'
_symmetry_Int_Tables_number 123
_symmetry_space_group_name_Hall '-P 4 2'
_cell_length_a 4.759
_cell_length_b 4.759
_cell_length_c 5.215
_cell_angle_alpha 90.00
_cell_angle_beta 90.00
_cell_angle_gamma 90.00
loop_
_atom_site_label
_atom_site_fract_x
_atom_site_fract_y
_atom_site_fract_z
_atom_site_occupancy
Ta1 0.000 0.000 0.000 1
Tl1 0.500 0.500 0.500 1
Pd1 0.000 0.000 0.500 1
S1 0.000 0.500 0.000 1
```

Computed properties:
DOS at the Fermi energy in states/eV per cell: 2.245
Crystal system: tetragonal
Electronic total energy in eV/cell: -28.7
Calculated volume in Å³ per atom: 23.62

Record 8
Here is an optimized crystal structure of Co2CuTc from Alexandria via LeMat-Bulk. Energies are from PBE-GGA.

Cell and atoms, written as CIF:
```
data_Co2CuTc
_symmetry_space_group_name_H-M 'C 1 2/m 1'
_symmetry_Int_Tables_number 12
_cell_length_a 8.420
_cell_length_b 2.562
_cell_length_c 4.510
_cell_angle_alpha 90.00
_cell_angle_beta 98.95
_cell_angle_gamma 90.00
loop_
_symmetry_equiv_pos_as_xyz
'x,y,z'
'-x,-y,-z'
'-x,y,-z'
'x,-y,z'
'x+1/2,y+1/2,z'
'-x+1/2,-y+1/2,-z'
'-x+1/2,y+1/2,-z'
'x+1/2,-y+1/2,z'
loop_
_atom_site_label
_atom_site_fract_x
_atom_site_fract_y
_atom_site_fract_z
_atom_site_occupancy
Co1 0.250 0.000 0.245 1
Cu1 0.000 0.000 0.500 1
Tc1 0.000 0.500 0.000 1
```

Computed properties:
DOS at the Fermi energy in states/eV per cell: 9.939
E_form in eV/f.u.: 0.8
Crystal system: monoclinic
Calculated volume in Å³ per atom: 12.01

Record 9
Here is an optimized crystal structure of HoCu2S2 from Alexandria via LeMat-Bulk. Energies are from PBE-GGA.

Cell and atoms, written as CIF:
```
data_HoCu2S2
_symmetry_space_group_name_H-M 'C 1 2/c 1'
_symmetry_Int_Tables_number 15
_cell_length_a 8.417
_cell_length_b 9.577
_cell_length_c 5.964
_cell_angle_alpha 90.00
_cell_angle_beta 134.66
_cell_angle_gamma 90.00
loop_
_symmetry_equiv_pos_as_xyz
'x,y,z'
'-x,-y,-z'
'-x,y,-z+1/2'
'x,-y,z+1/2'
'x+1/2,y+1/2,z'
'-x+1/2,-y+1/2,-z'
'-x+1/2,y+1/2,-z+1/2'
'x+1/2,-y+1/2,z+1/2'
loop_
_atom_site_label
_atom_site_fract_x
_atom_site_fract_y
_atom_site_fract_z
_atom_site_occupancy
Ho1 0.000 0.126 0.250 1
Cu1 0.151 0.374 0.054 1
S1 0.000 0.159 0.750 1
S2 0.000 0.411 0.250 1
```

Computed properties:
DOS at the Fermi energy in states/eV per cell: 9.556
Crystal system: monoclinic
Electronic total energy in eV/cell: -98.0
Calculated volume in Å³ per atom: 17.10

Record 10
Here is an optimized crystal structure of RbNa2AgI4 from Alexandria via LeMat-Bulk. Energies are from PBE-GGA.

Cell and atoms, written as CIF:
```
data_RbNa2AgI4
_symmetry_space_group_name_H-M 'C m c m'
_symmetry_Int_Tables_number 63
_symmetry_space_group_name_Hall '-C 2c 2'
_cell_length_a 4.711
_cell_length_b 16.058
_cell_length_c 16.523
_cell_angle_alpha 90.00
_cell_angle_beta 90.00
_cell_angle_gamma 90.00
loop_
_atom_site_label
_atom_site_fract_x
_atom_site_fract_y
_atom_site_fract_z
_atom_site_occupancy
Rb1 0.000 0.127 0.250 1
Na1 0.000 0.376 0.054 1
Ag1 0.000 0.154 0.750 1
I1 0.000 0.000 0.000 1
I2 0.000 0.259 0.611 1
I3 0.000 0.448 0.250 1
```

Computed properties:
DOS at the Fermi energy in states/eV per cell: 0.000
Crystal system: orthorhombic
Electronic total energy in eV/cell: -84.4
Calculated volume in Å³ per atom: 39.06

Record 11
Here is an optimized crystal structure of Tb5Pm2Dy2 from Alexandria via LeMat-Bulk. Energies are from PBE-GGA.

Cell and atoms, written as CIF:
```
data_Tb5Pm2Dy2
_symmetry_space_group_name_H-M 'C 1 2/m 1'
_symmetry_Int_Tables_number 12
_cell_length_a 21.686
_cell_length_b 3.503
_cell_length_c 8.229
_cell_angle_alpha 90.00
_cell_angle_beta 99.63
_cell_angle_gamma 90.00
loop_
_symmetry_equiv_pos_as_xyz
'x,y,z'
'-x,-y,-z'
'-x,y,-z'
'x,-y,z'
'x+1/2,y+1/2,z'
'-x+1/2,-y+1/2,-z'
'-x+1/2,y+1/2,-z'
'x+1/2,-y+1/2,z'
loop_
_atom_site_label
_atom_site_fract_x
_atom_site_fract_y
_atom_site_fract_z
_atom_site_occupancy
Tb1 0.000 0.000 0.000 1
Tb2 0.096 0.000 0.737 1
Tb3 0.190 0.500 0.530 1
Pm1 0.181 0.000 0.148 1
Dy1 0.048 0.500 0.356 1
```

Computed properties:
DOS at the Fermi energy in states/eV per cell: 25.198
E_form in eV/f.u.: 2.1
Crystal system: monoclinic
Calculated volume in Å³ per atom: 34.24

Record 12
Here is an optimized crystal structure of AlCdW2 from Alexandria via LeMat-Bulk. Energies are from PBE-GGA.

Cell and atoms, written as CIF:
```
data_AlCdW2
_symmetry_space_group_name_H-M 'R -3 m'
_symmetry_Int_Tables_number 166
_symmetry_space_group_name_Hall '-R 3 2"'
_cell_length_a 2.8695
_cell_length_b 2.8695
_cell_length_c 28.4222
_cell_angle_alpha 90.00
_cell_angle_beta 90.00
_cell_angle_gamma 120.00
loop_
_atom_site_label
_atom_site_fract_x
_atom_site_fract_y
_atom_site_fract_z
_atom_site_occupancy
Al1 0.0000 0.0000 0.0000 1
Cd1 0.0000 0.0000 0.5000 1
W1 0.0000 0.0000 0.2545 1
```

Computed properties:
DOS at the Fermi energy in states/eV per cell: 15.132
E_form in eV/f.u.: 1.6
Crystal system: trigonal
Calculated volume in Å³ per atom: 16.89

Question: Which of these has the lowest calculated volume?
Answer: Co2CuTc

Question: DOS at the Fermi energy of number 3 (PrSn12Pt4)?
Answer: 20.196 states/eV per cell

Question: Which value of DOS at the Fermi energy does entry 6 give?
Answer: 8.602 states/eV per cell